A relaxed LiCdCoF6 crystal, computed with GGA+U.

Output
The excess energy over the best structure of this formula in the dataset is 0 meV/atom. The space-group type is P-31c. For the volume, the calculation gives 216.6 Å³/cell. Its total energy is -4.352 eV per atom.

Cell: 5.0974 5.0974 9.6241 Å, 90.00 90.00 120.00°
Each line ends with the local moment (μB).
Positions (direct):
Li 0.3333 0.6667 0.2500  0.00
Li 0.6667 0.3333 0.7500  0.00
Cd 0.0000 0.0000 0.0000  0.00
Cd 0.0000 0.0000 0.5000  0.00
Co 0.6667 0.3333 0.2500  0.07
Co 0.3333 0.6667 0.7500  0.07
F 0.9760 0.6284 0.3597  0.00
F 0.6524 0.0240 0.3597  0.00
F 0.0240 0.3716 0.6403  0.00
F 0.6284 0.9760 0.8597  0.00
F 0.3476 0.3716 0.8597  0.00
F 0.6284 0.6524 0.6403  0.00
F 0.3716 0.0240 0.1403  0.00
F 0.9760 0.3476 0.1403  0.00
F 0.0240 0.6524 0.8597  0.00
F 0.3476 0.9760 0.6403  0.00
F 0.3716 0.3476 0.3597  0.00
F 0.6524 0.6284 0.1403  0.00